# 1
LiLaLu2: relaxed, PBE.

N(E_F) in states/eV per cell: 6.78
Relative energy among the computed polymorphs in eV per formula unit: 0.48
Formation energy from the elements in eV per atom: 0.2231
Raw total energy in eV per atom: -3.7477
Space-group type: P4/mmm (123)

Unit cell a=3.7439 b=5.6033 c=5.6033 alpha=90.00 beta=90.00 gamma=90.00
Last column: nearest neighbours and their distance in Å.
Fractional coordinates of all 4 atoms:
Lu 0.0000 0.0000 0.5000  4 La 3.37, 4 Li 3.37, 2 Lu 3.74
Lu 0.0000 0.5000 0.0000  4 Li 3.37, 4 La 3.37, 2 Lu 3.74
Li 0.5000 0.0000 0.0000  8 Lu 3.37, 2 Li 3.74
La 0.5000 0.5000 0.5000  8 Lu 3.37, 2 La 3.74

***

# 2
Cr2InPt: relaxed, PBE.

N(E_F) in states/eV per cell: 3.49
Formation energy from the elements in eV per atom: 0.1834
Raw total energy in eV per atom: -6.8231
Space-group type: C2/m (12)

Unit cell a=4.9357 b=4.9357 c=4.7293 alpha=76.35 beta=76.35 gamma=34.80
Last column: nearest neighbours and their distance in Å.
Fractional coordinates of all 4 atoms:
Cr 0.9930 0.9930 0.0820  2 Cr 2.20
Cr 0.5070 0.5070 0.4180  2 Cr 2.20
Pt 0.2500 0.2500 0.2500  6 Cr 2.67-2.73, 4 In 2.79, 2 Pt 2.95
In 0.7500 0.7500 0.7500  4 Pt 2.79, 6 Cr 2.94-3.08, 2 In 2.95

***

# 3
PH5Se4: relaxed, PBE.

Raw total energy in eV per atom: -3.5085
Space-group type: P-1 (2)

Unit cell a=6.2979 b=7.7840 c=11.1451 alpha=152.66 beta=130.68 gamma=64.76
Last column: nearest neighbours and their distance in Å.
Fractional coordinates of all 10 atoms:
Se 0.2806 0.2021 0.8589  1 H 1.51
Se 0.9832 0.9431 0.0653  1 H 2.13
Se 0.0168 0.0569 0.9347  1 H 2.13
Se 0.7194 0.7979 0.1411  1 H 1.51
H 0.7010 0.4448 0.3832  1 P 1.50
H 0.2119 0.7927 0.5189  1 Se 1.51
H 0.5000 0.5000 0.0000  2 Se 1.78
H 0.2990 0.5552 0.6168  1 P 1.50
H 0.7881 0.2073 0.4811  1 Se 1.51
P 0.5000 0.0000 0.0000  2 H 1.50

***

# 4
CaAsP: relaxed, PBE.

N(E_F) in states/eV per cell: 0.93
Relative energy among the computed polymorphs in eV per formula unit: 0.16
Formation energy from the elements in eV per atom: -0.6728
Raw total energy in eV per atom: -4.6931
Space-group type: Cc (9)

Unit cell a=9.2262 b=5.6659 c=7.4489 alpha=90.00 beta=131.45 gamma=90.00
Last column: nearest neighbours and their distance in Å.
Fractional coordinates of all 12 atoms:
As 0.5865 0.3800 0.5019  2 P 2.35-2.44
As 0.5865 0.8800 0.0019  2 P 2.35-2.44
As 0.0865 0.6200 0.0019  2 P 2.35-2.44
As 0.0865 0.1200 0.5019  2 P 2.35-2.44
P 0.3316 0.1248 0.9220  2 As 2.35-2.44
P 0.3316 0.6248 0.4220  2 As 2.35-2.44
P 0.8316 0.3752 0.9220  2 As 2.35-2.44
P 0.8316 0.8752 0.4220  2 As 2.35-2.44
Ca 0.7069 0.3814 0.2045  4 P 2.98-3.12, 4 As 3.02-3.07
Ca 0.7069 0.8814 0.7045  4 P 2.98-3.12, 4 As 3.02-3.07
Ca 0.2069 0.1186 0.2045  4 P 2.98-3.12, 4 As 3.02-3.07
Ca 0.2069 0.6186 0.7045  4 P 2.98-3.12, 4 As 3.02-3.07